No. 1
Below is a relaxed structure of Ho3B8Ir3, with properties calculated at the GGA-PBE level.

a = 3.430 Å, b = 7.241 Å, c = 7.241 Å
α = 79.01°, β = 76.30°, γ = 76.30°
Atoms (fractional coordinates):
B (0.199, 0.097, 0.505)
B (0.638, 0.654, 0.070)
B (0.801, 0.495, 0.903)
B (0.638, 0.070, 0.654)
B (0.362, 0.346, 0.930)
B (0.801, 0.903, 0.495)
B (0.362, 0.930, 0.346)
B (0.199, 0.505, 0.097)
Ir (0.000, 0.758, 0.242)
Ir (0.500, 0.000, 0.000)
Ir (0.000, 0.242, 0.758)
Ho (0.794, 0.206, 0.206)
Ho (0.500, 0.500, 0.500)
Ho (0.206, 0.794, 0.794)

## Properties
Total energy, eV for the cell shown: -97.08
SG: Immm (71)
DFT formation energy, kJ per mole of atoms: -23.1

***

No. 2
Below is a relaxed structure of NdY2Mg, with properties calculated at the GGA-PBE level.

a = 5.576 Å, b = 5.576 Å, c = 5.576 Å
α = 60.00°, β = 60.00°, γ = 60.00°
Each line ends with the local moment (μB).
Atoms (fractional coordinates):
Y (0.250, 0.250, 0.250)  0.05
Y (0.750, 0.750, 0.750)  0.05
Mg (0.500, 0.500, 0.500)  0.00
Nd (0.000, 0.000, 0.000)  0.09

## Properties
Excess energy over the best structure of this formula in the dataset, meV per atom: 117
Total energy, eV for the cell shown: -18.98
SG: Fm-3m (225)
DFT formation energy, kJ per mole of atoms: 7.6

***

No. 3
Below is a relaxed structure of ScTe2Rh, with properties calculated at the GGA-PBE level.

a = 4.616 Å, b = 4.616 Å, c = 5.832 Å
α = 81.83°, β = 81.83°, γ = 51.65°
Atoms (fractional coordinates):
Rh (0.409, 0.409, 0.540)
Te (0.708, 0.708, 0.707)
Te (0.025, 0.025, 0.250)
Sc (0.357, 0.357, 0.004)

## Properties
Excess energy over the best structure of this formula in the dataset, meV per atom: 9
Total energy, eV for the cell shown: -23.00
Formation energy without anion corrections, eV per formula unit: -3.0
SG: Cm (8)

***

No. 4
Below is a relaxed structure of LiCrCl2, with properties calculated at the GGA-PBE level.

a = 3.562 Å, b = 3.562 Å, c = 6.371 Å
α = 90.00°, β = 90.00°, γ = 90.00°
Each line ends with the local moment (μB).
Atoms (fractional coordinates):
Cl (0.500, 0.500, 0.299)  0.03
Cl (0.000, 0.000, 0.837)  0.01
Cr (0.000, 0.000, 0.447)  4.24
Li (0.500, 0.500, 0.917)  0.01

## Properties
Excess energy over the best structure of this formula in the dataset, meV per atom: 156
Total energy, eV for the cell shown: -18.73
Formation energy without anion corrections, eV per formula unit: -3.5
SG: P4mm (99)

***

No. 5
Below is a relaxed structure of LiTbHg2, with properties calculated at the GGA-PBE level.

a = 3.855 Å, b = 3.855 Å, c = 7.984 Å
α = 76.03°, β = 76.03°, γ = 60.00°
Atoms (fractional coordinates):
Hg (0.238, 0.238, 0.286)
Hg (0.096, 0.096, 0.713)
Li (0.498, 0.498, 0.505)
Tb (0.668, 0.668, 0.997)

## Properties
Total energy, eV for the cell shown: -8.25
SG: R3m (160)
DFT formation energy, kJ per mole of atoms: -26.5

***

No. 6
Below is a relaxed structure of PaP2, with properties calculated at the GGA-PBE level.

a = 3.633 Å, b = 3.633 Å, c = 4.880 Å
α = 90.00°, β = 90.00°, γ = 90.00°
Atoms (fractional coordinates):
P (0.500, 0.500, 0.265)
P (0.500, 0.500, 0.735)
Pa (0.000, 0.000, 0.000)

## Properties
Total energy, eV for the cell shown: -22.60
SG: P4/mmm (123)
DFT formation energy, kJ per mole of atoms: -73.6

***

No. 7
Below is a relaxed structure of RbNa2Hg2, with properties calculated at the GGA-PBE level.

a = 9.281 Å, b = 9.281 Å, c = 3.957 Å
α = 90.00°, β = 90.00°, γ = 90.00°
Atoms (fractional coordinates):
Hg (0.880, 0.620, 0.000)
Hg (0.620, 0.120, 0.000)
Hg (0.120, 0.380, 0.000)
Hg (0.380, 0.880, 0.000)
Na (0.838, 0.338, 0.500)
Na (0.338, 0.162, 0.500)
Na (0.662, 0.838, 0.500)
Na (0.162, 0.662, 0.500)
Rb (0.500, 0.500, 0.000)
Rb (0.000, 0.000, 0.000)

## Properties
Excess energy over the best structure of this formula in the dataset, meV per atom: 27
Total energy, eV for the cell shown: -10.02
SG: P4/mbm (127)
DFT formation energy, kJ per mole of atoms: -15.5

***

No. 8
Below is a relaxed structure of MgAlPt2, with properties calculated at the GGA-PBE level.

a = 5.886 Å, b = 5.886 Å, c = 5.886 Å
α = 56.66°, β = 152.26°, γ = 131.65°
Atoms (fractional coordinates):
Pt (0.000, 0.265, 0.265)
Pt (0.000, 0.735, 0.735)
Al (0.000, 0.500, 0.500)
Mg (0.000, 0.000, 0.000)

## Properties
Total energy, eV for the cell shown: -17.87
SG: Immm (71)
DFT formation energy, kJ per mole of atoms: -10.9

***

No. 9
Below is a relaxed structure of Ce3SmDy2N6, with properties calculated at the GGA-PBE level.

a = 6.132 Å, b = 6.132 Å, c = 6.126 Å
α = 99.61°, β = 99.61°, γ = 119.99°
Each line ends with the local moment (μB).
Atoms (fractional coordinates):
Ce (0.833, 0.167, 0.500)  0.18
Ce (0.500, 0.500, 0.500)  0.18
Ce (0.167, 0.833, 0.500)  0.18
N (0.916, 0.576, 0.748)  -0.01
N (0.576, 0.916, 0.748)  -0.01
N (0.084, 0.424, 0.252)  -0.01
N (0.256, 0.256, 0.749)  -0.01
N (0.424, 0.084, 0.252)  -0.01
N (0.744, 0.744, 0.251)  -0.01
Dy (0.333, 0.667, 0.000)  0.01
Dy (0.667, 0.333, 0.000)  0.01
Sm (0.000, 0.000, 0.000)  0.01

## Properties
Total energy, eV for the cell shown: -100.44
Formation energy without anion corrections, eV per formula unit: -18.8
SG: C2/m (12)

***

No. 10
Below is a relaxed structure of YZn4Rh2, with properties calculated at the GGA-PBE level.

a = 4.117 Å, b = 7.561 Å, c = 7.561 Å
α = 90.00°, β = 90.00°, γ = 90.00°
Atoms (fractional coordinates):
Zn (0.500, 0.595, 0.148)
Zn (0.000, 0.905, 0.648)
Zn (0.000, 0.352, 0.095)
Zn (0.000, 0.095, 0.352)
Zn (0.000, 0.648, 0.905)
Zn (0.500, 0.852, 0.405)
Zn (0.500, 0.405, 0.852)
Zn (0.500, 0.148, 0.595)
Rh (0.000, 0.215, 0.785)
Rh (0.500, 0.715, 0.715)
Rh (0.000, 0.785, 0.215)
Rh (0.500, 0.285, 0.285)
Y (0.000, 0.500, 0.500)
Y (0.500, 0.000, 0.000)

## Properties
Total energy, eV for the cell shown: -59.08
SG: P4_2/mnm (136)
DFT formation energy, kJ per mole of atoms: -45.2

***

No. 11
Below is a relaxed structure of CaSm7Er2, with properties calculated at the GGA-PBE level.

a = 6.273 Å, b = 9.600 Å, c = 9.596 Å
α = 141.95°, β = 71.03°, γ = 102.48°
Atoms (fractional coordinates):
Sm (0.000, 0.394, 0.600)
Sm (0.000, 0.606, 0.400)
Sm (0.499, 0.310, 0.207)
Sm (0.999, 0.797, 0.203)
Sm (0.001, 0.203, 0.797)
Sm (0.501, 0.690, 0.793)
Sm (0.500, 0.500, 0.000)
Ca (0.000, 0.000, 0.000)
Er (0.493, 0.100, 0.404)
Er (0.507, 0.900, 0.596)

## Properties
Total energy, eV for the cell shown: -43.72
SG: P-1 (2)
DFT formation energy, kJ per mole of atoms: 4.3

***

No. 12
Below is a relaxed structure of CoCuOs2, with properties calculated at the GGA-PBE level.

a = 2.644 Å, b = 3.738 Å, c = 5.222 Å
α = 90.00°, β = 90.00°, γ = 90.00°
Each line ends with the local moment (μB).
Atoms (fractional coordinates):
Os (0.000, 0.000, 0.005)  0.00
Os (0.000, 0.000, 0.495)  0.00
Cu (0.500, 0.500, 0.750)  -0.01
Co (0.500, 0.500, 0.250)  0.50

## Properties
Excess energy over the best structure of this formula in the dataset, meV per atom: 137
Total energy, eV for the cell shown: -32.19
SG: Pmmm (47)
DFT formation energy, kJ per mole of atoms: 35.5

***

No. 13
Below is a relaxed structure of BaPa2O5, with properties calculated at the GGA-PBE level.

a = 4.135 Å, b = 6.656 Å, c = 11.165 Å
α = 90.00°, β = 90.00°, γ = 108.10°
Each line ends with the local moment (μB).
Atoms (fractional coordinates):
Ba (0.599, 0.198, 0.250)  0.03
Ba (0.401, 0.802, 0.750)  0.03
O (0.319, 0.637, 0.510)  -0.02
O (0.184, 0.368, 0.750)  -0.02
O (0.964, 0.928, 0.609)  -0.02
O (0.964, 0.928, 0.891)  -0.02
O (0.681, 0.363, 0.490)  -0.02
O (0.681, 0.363, 0.010)  -0.02
O (0.036, 0.072, 0.109)  -0.02
O (0.319, 0.637, 0.990)  -0.02
O (0.816, 0.632, 0.250)  -0.02
O (0.036, 0.072, 0.391)  -0.02
Pa (0.134, 0.268, 0.560)  0.69
Pa (0.866, 0.732, 0.060)  0.69
Pa (0.134, 0.268, 0.940)  0.69
Pa (0.866, 0.732, 0.440)  0.69

## Properties
Total energy, eV for the cell shown: -144.03
Formation energy without anion corrections, eV per formula unit: -26.3
SG: Cmcm (63)

***

No. 14
Below is a relaxed structure of IrRuPt, with properties calculated at the GGA-PBE level.

a = 4.410 Å, b = 4.410 Å, c = 2.691 Å
α = 90.00°, β = 90.00°, γ = 120.00°
Each line ends with the local moment (μB).
Atoms (fractional coordinates):
Ru (0.333, 0.667, 0.667)  0.40
Ir (0.000, 0.000, 0.167)  0.09
Pt (0.667, 0.333, 0.167)  0.01

## Properties
Excess energy over the best structure of this formula in the dataset, meV per atom: 311
Total energy, eV for the cell shown: -23.34
SG: P-6m2 (187)
DFT formation energy, kJ per mole of atoms: 27.1

***

No. 15
Below is a relaxed structure of RbCu2TcSe, with properties calculated at the GGA-PBE level.

a = 4.995 Å, b = 5.902 Å, c = 4.995 Å
α = 90.00°, β = 90.00°, γ = 90.00°
Each line ends with the local moment (μB).
Atoms (fractional coordinates):
Cu (0.500, 0.000, 0.000)  -0.05
Cu (0.000, 0.000, 0.500)  -0.05
Se (0.000, 0.500, 0.000)  0.06
Tc (0.500, 0.500, 0.500)  3.78
Rb (0.000, 0.000, 0.000)  -0.04

## Properties
Total energy, eV for the cell shown: -12.73
Formation energy without anion corrections, eV per formula unit: 10.3
SG: P4/mmm (123)

***

No. 16
Below is a relaxed structure of Na2Sn2Hg2Pb, with properties calculated at the GGA-PBE level.

a = 5.361 Å, b = 5.361 Å, c = 8.181 Å
α = 70.87°, β = 70.87°, γ = 60.00°
Atoms (fractional coordinates):
Hg (0.272, 0.272, 0.183)
Hg (0.728, 0.728, 0.817)
Pb (0.000, 0.000, 0.000)
Sn (0.587, 0.587, 0.240)
Sn (0.413, 0.413, 0.760)
Na (0.139, 0.139, 0.582)
Na (0.861, 0.861, 0.418)

## Properties
Total energy, eV for the cell shown: -15.46
SG: R-3m (166)
DFT formation energy, kJ per mole of atoms: -7.0

***

No. 17
Below is a relaxed structure of AlN, with properties calculated at the GGA-PBE level.

a = 5.957 Å, b = 5.957 Å, c = 5.957 Å
α = 90.00°, β = 90.00°, γ = 90.00°
Atoms (fractional coordinates):
N (0.334, 0.334, 0.666)
N (0.834, 0.834, 0.166)
N (0.334, 0.666, 0.334)
N (0.166, 0.166, 0.166)
N (0.166, 0.834, 0.834)
N (0.834, 0.166, 0.834)
N (0.666, 0.334, 0.334)
N (0.666, 0.666, 0.666)
Al (0.841, 0.841, 0.841)
Al (0.341, 0.659, 0.659)
Al (0.159, 0.159, 0.841)
Al (0.341, 0.341, 0.341)
Al (0.841, 0.159, 0.159)
Al (0.659, 0.341, 0.659)
Al (0.659, 0.659, 0.341)
Al (0.159, 0.841, 0.159)

## Properties
Total energy, eV for the cell shown: -115.82
Formation energy without anion corrections, eV per formula unit: -2.4
SG: I-43m (217)

***

No. 18
Below is a relaxed structure of CdOs2Rh, with properties calculated at the GGA-PBE level.

a = 5.005 Å, b = 5.005 Å, c = 5.005 Å
α = 135.01°, β = 135.01°, γ = 65.51°
Atoms (fractional coordinates):
Cd (0.000, 0.000, 0.000)
Os (0.750, 0.250, 0.500)
Os (0.250, 0.750, 0.500)
Rh (0.500, 0.500, 0.000)

## Properties
Total energy, eV for the cell shown: -28.60
SG: I4/mmm (139)
DFT formation energy, kJ per mole of atoms: 51.3

***

No. 19
Below is a relaxed structure of Pr4ZnIr2, with properties calculated at the GGA-PBE level.

a = 4.826 Å, b = 4.826 Å, c = 10.007 Å
α = 76.05°, β = 76.05°, γ = 60.00°
Atoms (fractional coordinates):
Ir (0.908, 0.908, 0.275)
Ir (0.092, 0.092, 0.725)
Pr (0.384, 0.384, 0.849)
Pr (0.616, 0.616, 0.151)
Pr (0.795, 0.795, 0.614)
Pr (0.205, 0.205, 0.386)
Zn (0.000, 0.000, 0.000)

## Properties
Total energy, eV for the cell shown: -41.41
SG: R-3m (166)
DFT formation energy, kJ per mole of atoms: -45.4

***

No. 20
Below is a relaxed structure of Pr3Nd3TlIn2, with properties calculated at the GGA-PBE level.

a = 3.852 Å, b = 9.282 Å, c = 9.282 Å
α = 120.00°, β = 90.00°, γ = 90.00°
Atoms (fractional coordinates):
Nd (0.000, 0.000, 0.388)
Nd (0.000, 0.388, 0.000)
Nd (0.000, 0.612, 0.612)
In (0.500, 0.667, 0.333)
In (0.500, 0.333, 0.667)
Pr (0.500, 0.000, 0.714)
Pr (0.500, 0.286, 0.286)
Pr (0.500, 0.714, 0.000)
Tl (0.000, 0.000, 0.000)

## Properties
Total energy, eV for the cell shown: -39.22
SG: P-62m (189)
DFT formation energy, kJ per mole of atoms: -29.4

***

No. 21
Below is a relaxed structure of Er2Pa2Ru3, with properties calculated at the GGA-PBE level.

a = 5.248 Å, b = 4.357 Å, c = 7.536 Å
α = 76.30°, β = 69.79°, γ = 89.96°
Atoms (fractional coordinates):
Er (0.620, 0.138, 0.759)
Er (0.380, 0.862, 0.241)
Ru (0.000, 0.000, 0.000)
Ru (0.767, 0.763, 0.470)
Ru (0.233, 0.237, 0.530)
Pa (0.875, 0.368, 0.251)
Pa (0.125, 0.632, 0.749)

## Properties
Excess energy over the best structure of this formula in the dataset, meV per atom: 61
Total energy, eV for the cell shown: -58.81
SG: P-1 (2)
DFT formation energy, kJ per mole of atoms: -39.4